No. 1
DFT (PBE) results for Nd2Tm17 after structural relaxation.

a = 8.627 Å, b = 8.627 Å, c = 8.627 Å
α = 80.78°, β = 80.78°, γ = 80.78°
Atoms (fractional coordinates):
Nd (0.170, 0.170, 0.170)
Nd (0.830, 0.830, 0.830)
Tm (0.000, 0.500, 0.500)
Tm (0.138, 0.138, 0.648)
Tm (0.138, 0.648, 0.138)
Tm (0.201, 0.500, 0.799)
Tm (0.201, 0.799, 0.500)
Tm (0.352, 0.862, 0.862)
Tm (0.399, 0.399, 0.399)
Tm (0.500, 0.000, 0.500)
Tm (0.500, 0.201, 0.799)
Tm (0.500, 0.500, 0.000)
Tm (0.500, 0.799, 0.201)
Tm (0.601, 0.601, 0.601)
Tm (0.648, 0.138, 0.138)
Tm (0.799, 0.201, 0.500)
Tm (0.799, 0.500, 0.201)
Tm (0.862, 0.352, 0.862)
Tm (0.862, 0.862, 0.352)

Computed properties:
DFT formation energy, meV/atom: 279
Total energy, eV/atom: -4.223
N(E_F), states/eV per cell: 39.5

---

No. 2
DFT (PBE) results for LiAu after structural relaxation.

a = 4.179 Å, b = 4.179 Å, c = 4.179 Å
α = 60.00°, β = 60.00°, γ = 60.00°
Atoms (fractional coordinates):
Li (0.000, 0.000, 0.000)
Au (0.250, 0.250, 0.250)

Computed properties:
DFT formation energy, meV/atom: -77
Total energy, eV/atom: -2.673

---

No. 3
DFT (PBE) results for Cu2POs after structural relaxation.

a = 2.621 Å, b = 2.621 Å, c = 7.817 Å
α = 90.00°, β = 90.00°, γ = 90.00°
Atoms (fractional coordinates):
Cu (0.000, 0.000, 0.249)
Cu (0.000, 0.000, 0.751)
P (0.500, 0.500, 0.000)
Os (0.500, 0.500, 0.500)

Computed properties:
DFT formation energy, meV/atom: 448
Total energy, eV/atom: -5.760
N(E_F), states/eV per cell: 4.2